Material: GaCuGePt
Method: DFT, PBE-GGA
State: relaxed

**Uncorrected energy**: -4.400 eV per atom

Cell lengths 4.449, 4.449, 4.449 Å; angles 60.00, 60.00, 60.00 degrees
Positions (direct):
Ge1 0.000 0.000 0.000
Pt1 0.500 0.500 0.500
Cu1 0.750 0.750 0.750
Ga1 0.250 0.250 0.250